Record 1
# PBE LaPr3Se3S4, relaxed
data_LaPr3Se3S4
_space_group_name_H-M_alt 'P 1'
_space_group_IT_number 1
_space_group_name_Hall 'P 1'
_cell_length_a 10.1848
_cell_length_b 7.2401
_cell_length_c 7.2401
_cell_angle_alpha 35.16
_cell_angle_beta 90.00
_cell_angle_gamma 90.00
loop_
_atom_site_label
_atom_site_type_symbol
_atom_site_fract_x
_atom_site_fract_y
_atom_site_fract_z
_atom_site_occupancy
La1 La 0.0000 0.0000 0.0000 1
Pr1 Pr 0.2373 0.7201 0.7201 1
Pr2 Pr 0.5000 0.0171 0.0171 1
Pr3 Pr 0.7627 0.7201 0.7201 1
Se1 Se 0.0000 0.3385 0.3385 1
Se2 Se 0.3796 0.3684 0.3684 1
Se3 Se 0.6204 0.3684 0.3684 1
S1 S 0.0000 0.6234 0.6234 1
S2 S 0.2463 0.0922 0.0922 1
S3 S 0.5000 0.6502 0.6502 1
S4 S 0.7537 0.0922 0.0922 1
# **E**: -5.9789 eV per atom
# **Spin magnetization**: 0.012 μB per cell

***

Record 2
# PBE CuSn4Ge3, relaxed
data_CuSn4Ge3
_space_group_name_H-M_alt 'P 1'
_space_group_IT_number 1
_space_group_name_Hall 'P 1'
_cell_length_a 7.6067
_cell_length_b 7.6067
_cell_length_c 7.6067
_cell_angle_alpha 132.95
_cell_angle_beta 132.95
_cell_angle_gamma 68.73
loop_
_atom_site_label
_atom_site_type_symbol
_atom_site_fract_x
_atom_site_fract_y
_atom_site_fract_z
_atom_site_occupancy
Cu1 Cu 0.0000 0.0000 0.0000 1
Sn1 Sn 0.1173 0.1173 0.4801 1
Sn2 Sn 0.3628 0.8827 0.0000 1
Sn3 Sn 0.6372 0.6372 0.5199 1
Sn4 Sn 0.8827 0.3628 0.0000 1
Ge1 Ge 0.2500 0.7500 0.5000 1
Ge2 Ge 0.5000 0.5000 0.0000 1
Ge3 Ge 0.7500 0.2500 0.5000 1
# **E**: -4.0358 eV per atom

***

Record 3
# PBE LaMoPd, relaxed
data_LaMoPd
_space_group_name_H-M_alt 'P 1'
_space_group_IT_number 1
_space_group_name_Hall 'P 1'
_cell_length_a 4.6848
_cell_length_b 4.6848
_cell_length_c 4.6848
_cell_angle_alpha 60.00
_cell_angle_beta 60.00
_cell_angle_gamma 60.00
loop_
_atom_site_label
_atom_site_type_symbol
_atom_site_fract_x
_atom_site_fract_y
_atom_site_fract_z
_atom_site_occupancy
La1 La 0.0000 0.0000 0.0000 1
Mo1 Mo 0.7500 0.7500 0.7500 1
Pd1 Pd 0.2500 0.2500 0.2500 1
# **E**: -6.0735 eV per atom
# **Spin magnetization**: 2.839 μB per cell

***

Record 4
# PBE Li4PdPbO6, relaxed
data_Li4PdPbO6
_space_group_name_H-M_alt 'P 1'
_space_group_IT_number 1
_space_group_name_Hall 'P 1'
_cell_length_a 5.3285
_cell_length_b 5.3285
_cell_length_c 5.2075
_cell_angle_alpha 99.56
_cell_angle_beta 99.56
_cell_angle_gamma 120.25
loop_
_atom_site_label
_atom_site_type_symbol
_atom_site_fract_x
_atom_site_fract_y
_atom_site_fract_z
_atom_site_occupancy
Li1 Li 0.0000 0.0000 0.0000 1
Li2 Li 0.1720 0.8280 0.5000 1
Li3 Li 0.4775 0.5225 0.5000 1
Li4 Li 0.8446 0.1554 0.5000 1
Pd1 Pd 0.3328 0.6672 0.0000 1
Pb1 Pb 0.6645 0.3355 0.0000 1
O1 O 0.0982 0.4314 0.2374 1
O2 O 0.2525 0.2761 0.7541 1
O3 O 0.4118 0.0551 0.2435 1
O4 O 0.5686 0.9018 0.7626 1
O5 O 0.7239 0.7475 0.2459 1
O6 O 0.9449 0.5882 0.7565 1
# **E**: -5.2161 eV per atom

***

Record 5
# PBE LuInFeCu, relaxed
data_LuInFeCu
_space_group_name_H-M_alt 'P 1'
_space_group_IT_number 1
_space_group_name_Hall 'P 1'
_cell_length_a 4.6863
_cell_length_b 4.6863
_cell_length_c 4.6863
_cell_angle_alpha 60.00
_cell_angle_beta 60.00
_cell_angle_gamma 60.00
loop_
_atom_site_label
_atom_site_type_symbol
_atom_site_fract_x
_atom_site_fract_y
_atom_site_fract_z
_atom_site_occupancy
Lu1 Lu 0.0000 0.0000 0.0000 1
In1 In 0.2500 0.2500 0.2500 1
Fe1 Fe 0.7500 0.7500 0.7500 1
Cu1 Cu 0.5000 0.5000 0.5000 1
# **E**: -4.6220 eV per atom
# **Spin magnetization**: 2.525 μB per cell

***

Record 6
# PBE RbZrNi, relaxed
data_RbZrNi
_space_group_name_H-M_alt 'P 1'
_space_group_IT_number 1
_space_group_name_Hall 'P 1'
_cell_length_a 4.6414
_cell_length_b 4.6414
_cell_length_c 4.6414
_cell_angle_alpha 60.00
_cell_angle_beta 60.00
_cell_angle_gamma 60.00
loop_
_atom_site_label
_atom_site_type_symbol
_atom_site_fract_x
_atom_site_fract_y
_atom_site_fract_z
_atom_site_occupancy
Rb1 Rb 0.0000 0.0000 0.0000 1
Zr1 Zr 0.2500 0.2500 0.2500 1
Ni1 Ni 0.7500 0.7500 0.7500 1
# **E**: -3.0941 eV per atom
# **Spin magnetization**: 0.001 μB per cell

***

Record 7
# PBE Li2Mg2InGaAu2, relaxed
data_Li2Mg2InGaAu2
_space_group_name_H-M_alt 'P 1'
_space_group_IT_number 1
_space_group_name_Hall 'P 1'
_cell_length_a 4.6027
_cell_length_b 4.6027
_cell_length_c 6.5158
_cell_angle_alpha 90.00
_cell_angle_beta 90.00
_cell_angle_gamma 90.00
loop_
_atom_site_label
_atom_site_type_symbol
_atom_site_fract_x
_atom_site_fract_y
_atom_site_fract_z
_atom_site_occupancy
Li1 Li 0.0000 0.5000 0.2336 1
Li2 Li 0.5000 0.0000 0.7664 1
Mg1 Mg 0.0000 0.0000 0.0000 1
Mg2 Mg 0.5000 0.5000 0.5000 1
In1 In 0.0000 0.0000 0.5000 1
Ga1 Ga 0.5000 0.5000 0.0000 1
Au1 Au 0.0000 0.5000 0.7657 1
Au2 Au 0.5000 0.0000 0.2343 1
# **E**: -2.8647 eV per atom

***

Record 8
# PBE AsP6Ir, relaxed
data_AsP6Ir
_space_group_name_H-M_alt 'P 1'
_space_group_IT_number 1
_space_group_name_Hall 'P 1'
_cell_length_a 5.9177
_cell_length_b 5.9177
_cell_length_c 5.9177
_cell_angle_alpha 60.00
_cell_angle_beta 60.00
_cell_angle_gamma 60.00
loop_
_atom_site_label
_atom_site_type_symbol
_atom_site_fract_x
_atom_site_fract_y
_atom_site_fract_z
_atom_site_occupancy
As1 As 0.0000 0.0000 0.0000 1
P1 P 0.2910 0.2910 0.7090 1
P2 P 0.2910 0.7090 0.2910 1
P3 P 0.2910 0.7090 0.7090 1
P4 P 0.7090 0.2910 0.2910 1
P5 P 0.7090 0.2910 0.7090 1
P6 P 0.7090 0.7090 0.2910 1
Ir1 Ir 0.7500 0.7500 0.7500 1
# **E**: -4.7725 eV per atom
# **Spin magnetization**: 0.006 μB per cell

***

Record 9
# PBE SrNpGe, relaxed
data_SrNpGe
_space_group_name_H-M_alt 'P 1'
_space_group_IT_number 1
_space_group_name_Hall 'P 1'
_cell_length_a 5.0598
_cell_length_b 5.0598
_cell_length_c 5.0598
_cell_angle_alpha 60.00
_cell_angle_beta 60.00
_cell_angle_gamma 60.00
loop_
_atom_site_label
_atom_site_type_symbol
_atom_site_fract_x
_atom_site_fract_y
_atom_site_fract_z
_atom_site_occupancy
Sr1 Sr 0.0000 0.0000 0.0000 1
Np1 Np 0.7500 0.7500 0.7500 1
Ge1 Ge 0.5000 0.5000 0.5000 1
# **E**: -5.7193 eV per atom
# **Spin magnetization**: 5.017 μB per cell

***

Record 10
# PBE TlAgSnSe2S, relaxed
data_TlAgSnSe2S
_space_group_name_H-M_alt 'P 1'
_space_group_IT_number 1
_space_group_name_Hall 'P 1'
_cell_length_a 6.9110
_cell_length_b 6.9110
_cell_length_c 11.1658
_cell_angle_alpha 90.00
_cell_angle_beta 90.00
_cell_angle_gamma 146.04
loop_
_atom_site_label
_atom_site_type_symbol
_atom_site_fract_x
_atom_site_fract_y
_atom_site_fract_z
_atom_site_occupancy
Tl1 Tl 0.2064 0.7936 0.7500 1
Tl2 Tl 0.7936 0.2064 0.2500 1
Ag1 Ag 0.1028 0.8972 0.2500 1
Ag2 Ag 0.8972 0.1028 0.7500 1
Sn1 Sn 0.5000 0.5000 0.0000 1
Sn2 Sn 0.5000 0.5000 0.5000 1
Se1 Se 0.1448 0.8552 0.0230 1
Se2 Se 0.1448 0.8552 0.4770 1
Se3 Se 0.8552 0.1448 0.5230 1
Se4 Se 0.8552 0.1448 0.9770 1
S1 S 0.4677 0.5323 0.2500 1
S2 S 0.5323 0.4677 0.7500 1
# **E**: -3.6461 eV per atom

***

Record 11
# PBE TbTm2NiSn3Ir2, relaxed
data_TbTm2NiSn3Ir2
_space_group_name_H-M_alt 'P 1'
_space_group_IT_number 1
_space_group_name_Hall 'P 1'
_cell_length_a 3.7263
_cell_length_b 7.5734
_cell_length_c 7.5734
_cell_angle_alpha 120.17
_cell_angle_beta 90.00
_cell_angle_gamma 90.00
loop_
_atom_site_label
_atom_site_type_symbol
_atom_site_fract_x
_atom_site_fract_y
_atom_site_fract_z
_atom_site_occupancy
Tb1 Tb 0.0000 0.0000 0.0000 1
Tm1 Tm 0.0000 0.4069 0.8134 1
Tm2 Tm 0.0000 0.8134 0.4069 1
Ni1 Ni 0.0000 0.4086 0.4086 1
Sn1 Sn 0.5000 0.1504 0.4082 1
Sn2 Sn 0.5000 0.4082 0.1504 1
Sn3 Sn 0.5000 0.6628 0.6628 1
Ir1 Ir 0.5000 0.0749 0.7368 1
Ir2 Ir 0.5000 0.7368 0.0749 1
# **E**: -6.2288 eV per atom
# **Spin magnetization**: 0.000 μB per cell

***

Record 12
# PBE BeNbHg, relaxed
data_BeNbHg
_space_group_name_H-M_alt 'P 1'
_space_group_IT_number 1
_space_group_name_Hall 'P 1'
_cell_length_a 4.1583
_cell_length_b 4.1583
_cell_length_c 4.1583
_cell_angle_alpha 60.00
_cell_angle_beta 60.00
_cell_angle_gamma 60.00
loop_
_atom_site_label
_atom_site_type_symbol
_atom_site_fract_x
_atom_site_fract_y
_atom_site_fract_z
_atom_site_occupancy
Be1 Be 0.0000 0.0000 0.0000 1
Nb1 Nb 0.2500 0.2500 0.2500 1
Hg1 Hg 0.7500 0.7500 0.7500 1
# **E**: -4.2520 eV per atom
# **Spin magnetization**: 0.548 μB per cell

***

Record 13
# PBE GaReAu2, relaxed
data_GaReAu2
_space_group_name_H-M_alt 'P 1'
_space_group_IT_number 1
_space_group_name_Hall 'P 1'
_cell_length_a 4.5460
_cell_length_b 4.5460
_cell_length_c 4.5460
_cell_angle_alpha 60.00
_cell_angle_beta 60.00
_cell_angle_gamma 60.00
loop_
_atom_site_label
_atom_site_type_symbol
_atom_site_fract_x
_atom_site_fract_y
_atom_site_fract_z
_atom_site_occupancy
Ga1 Ga 0.0000 0.0000 0.0000 1
Re1 Re 0.2500 0.2500 0.2500 1
Au1 Au 0.5000 0.5000 0.5000 1
Au2 Au 0.7500 0.7500 0.7500 1
# **E**: -4.9859 eV per atom
# **Spin magnetization**: 1.170 μB per cell

***

Record 14
# PBE DyGaNO, relaxed
data_DyGaNO
_space_group_name_H-M_alt 'P 1'
_space_group_IT_number 1
_space_group_name_Hall 'P 1'
_cell_length_a 5.9052
_cell_length_b 7.4896
_cell_length_c 5.1070
_cell_angle_alpha 90.00
_cell_angle_beta 90.00
_cell_angle_gamma 90.00
loop_
_atom_site_label
_atom_site_type_symbol
_atom_site_fract_x
_atom_site_fract_y
_atom_site_fract_z
_atom_site_occupancy
Dy1 Dy 0.0533 0.1309 0.0000 1
Dy2 Dy 0.4467 0.1309 0.5000 1
Dy3 Dy 0.5533 0.8691 0.0000 1
Dy4 Dy 0.9467 0.8691 0.5000 1
Ga1 Ga 0.0916 0.5962 0.9496 1
Ga2 Ga 0.4084 0.5962 0.4496 1
Ga3 Ga 0.5916 0.4038 0.9496 1
Ga4 Ga 0.9084 0.4038 0.4496 1
N1 N 0.1009 0.5934 0.5733 1
N2 N 0.3991 0.5934 0.0733 1
N3 N 0.6009 0.4066 0.5733 1
N4 N 0.8991 0.4066 0.0733 1
O1 O 0.0695 0.1724 0.5191 1
O2 O 0.4305 0.1724 0.0191 1
O3 O 0.5695 0.8276 0.5191 1
O4 O 0.9305 0.8276 0.0191 1
# **E**: -6.6528 eV per atom
# **Spin magnetization**: 2.725 μB per cell

***

Record 15
# PBE Nd2Sc2CBr3Cl2, relaxed
data_Nd2Sc2CBr3Cl2
_space_group_name_H-M_alt 'P 1'
_space_group_IT_number 1
_space_group_name_Hall 'P 1'
_cell_length_a 9.0172
_cell_length_b 9.0172
_cell_length_c 7.8307
_cell_angle_alpha 104.43
_cell_angle_beta 104.43
_cell_angle_gamma 23.76
loop_
_atom_site_label
_atom_site_type_symbol
_atom_site_fract_x
_atom_site_fract_y
_atom_site_fract_z
_atom_site_occupancy
Nd1 Nd 0.1450 0.1450 0.0892 1
Nd2 Nd 0.8550 0.8550 0.9108 1
Sc1 Sc 0.5002 0.5002 0.1932 1
Sc2 Sc 0.4998 0.4998 0.8068 1
C1 C 0.0000 0.0000 0.0000 1
Br1 Br 0.0000 0.0000 0.5000 1
Br2 Br 0.3371 0.3371 0.1927 1
Br3 Br 0.6629 0.6629 0.8073 1
Cl1 Cl 0.3502 0.3502 0.6429 1
Cl2 Cl 0.6498 0.6498 0.3571 1
# **E**: -5.4943 eV per atom
# **Spin magnetization**: 0.126 μB per cell

***

Record 16
# PBE CsFeSnS3, relaxed
data_CsFeSnS3
_space_group_name_H-M_alt 'P 1'
_space_group_IT_number 1
_space_group_name_Hall 'P 1'
_cell_length_a 7.9378
_cell_length_b 7.9378
_cell_length_c 10.9834
_cell_angle_alpha 90.00
_cell_angle_beta 90.00
_cell_angle_gamma 150.31
loop_
_atom_site_label
_atom_site_type_symbol
_atom_site_fract_x
_atom_site_fract_y
_atom_site_fract_z
_atom_site_occupancy
Cs1 Cs 0.2308 0.7692 0.7500 1
Cs2 Cs 0.7692 0.2308 0.2500 1
Fe1 Fe 0.0466 0.9534 0.2500 1
Fe2 Fe 0.9534 0.0466 0.7500 1
Sn1 Sn 0.5000 0.5000 0.0000 1
Sn2 Sn 0.5000 0.5000 0.5000 1
S1 S 0.1167 0.8833 0.0716 1
S2 S 0.1167 0.8833 0.4284 1
S3 S 0.4628 0.5372 0.2500 1
S4 S 0.5372 0.4628 0.7500 1
S5 S 0.8833 0.1167 0.5716 1
S6 S 0.8833 0.1167 0.9284 1
# **E**: -4.8626 eV per atom
# **Spin magnetization**: 8.622 μB per cell

***

Record 17
# PBE Rb2LiFeC6N6, relaxed
data_Rb2LiFeC6N6
_space_group_name_H-M_alt 'P 1'
_space_group_IT_number 1
_space_group_name_Hall 'P 1'
_cell_length_a 7.0890
_cell_length_b 7.3945
_cell_length_c 12.3904
_cell_angle_alpha 90.00
_cell_angle_beta 124.65
_cell_angle_gamma 90.00
loop_
_atom_site_label
_atom_site_type_symbol
_atom_site_fract_x
_atom_site_fract_y
_atom_site_fract_z
_atom_site_occupancy
Rb1 Rb 0.2348 0.0582 0.2500 1
Rb2 Rb 0.2348 0.4418 0.7500 1
Rb3 Rb 0.7652 0.5582 0.2500 1
Rb4 Rb 0.7652 0.9418 0.7500 1
Li1 Li 0.0000 0.0000 0.5000 1
Li2 Li 0.0000 0.5000 0.0000 1
Fe1 Fe 0.5000 0.0000 0.0000 1
Fe2 Fe 0.5000 0.5000 0.5000 1
C1 C 0.2578 0.1450 0.9752 1
C2 C 0.2578 0.3550 0.4752 1
C3 C 0.3272 0.7120 0.4717 1
C4 C 0.3272 0.7880 0.9717 1
C5 C 0.3695 0.0097 0.8178 1
C6 C 0.3695 0.4903 0.3178 1
C7 C 0.6305 0.5097 0.6822 1
C8 C 0.6305 0.9903 0.1822 1
C9 C 0.6728 0.2120 0.0283 1
C10 C 0.6728 0.2880 0.5283 1
C11 C 0.7422 0.6450 0.5248 1
C12 C 0.7422 0.8550 0.0248 1
N1 N 0.1085 0.2366 0.9597 1
N2 N 0.1085 0.2634 0.4597 1
N3 N 0.2191 0.6566 0.9539 1
N4 N 0.2191 0.8434 0.4539 1
N5 N 0.2848 0.0184 0.7042 1
N6 N 0.2848 0.4816 0.2042 1
N7 N 0.7152 0.5184 0.7958 1
N8 N 0.7152 0.9816 0.2958 1
N9 N 0.7809 0.1566 0.5461 1
N10 N 0.7809 0.3434 0.0461 1
N11 N 0.8915 0.7366 0.5403 1
N12 N 0.8915 0.7634 0.0403 1
# **E**: -7.4462 eV per atom
# **Spin magnetization**: 1.999 μB per cell

***

Record 18
# PBE YFeReAs, relaxed
data_YFeReAs
_space_group_name_H-M_alt 'P 1'
_space_group_IT_number 1
_space_group_name_Hall 'P 1'
_cell_length_a 4.4905
_cell_length_b 4.4905
_cell_length_c 4.4905
_cell_angle_alpha 60.00
_cell_angle_beta 60.00
_cell_angle_gamma 60.00
loop_
_atom_site_label
_atom_site_type_symbol
_atom_site_fract_x
_atom_site_fract_y
_atom_site_fract_z
_atom_site_occupancy
Y1 Y 0.0000 0.0000 0.0000 1
Fe1 Fe 0.7500 0.7500 0.7500 1
Re1 Re 0.2500 0.2500 0.2500 1
As1 As 0.5000 0.5000 0.5000 1
# **E**: -7.5771 eV per atom
# **Spin magnetization**: 0.982 μB per cell

***

Record 19
# PBE Dy5Y2Ni2Se2, relaxed
data_Dy5Y2Ni2Se2
_space_group_name_H-M_alt 'P 1'
_space_group_IT_number 1
_space_group_name_Hall 'P 1'
_cell_length_a 9.1023
_cell_length_b 9.1023
_cell_length_c 9.1023
_cell_angle_alpha 155.88
_cell_angle_beta 67.10
_cell_angle_gamma 118.45
loop_
_atom_site_label
_atom_site_type_symbol
_atom_site_fract_x
_atom_site_fract_y
_atom_site_fract_z
_atom_site_occupancy
Dy1 Dy 0.0000 0.0000 0.0000 1
Dy2 Dy 0.2859 0.4102 0.8757 1
Dy3 Dy 0.2981 0.6138 0.6843 1
Dy4 Dy 0.5345 0.4102 0.1243 1
Dy5 Dy 0.9295 0.6138 0.3157 1
Y1 Y 0.6172 0.2565 0.3608 1
Y2 Y 0.8957 0.2565 0.6392 1
Ni1 Ni 0.1619 0.9220 0.2399 1
Ni2 Ni 0.6821 0.9220 0.7601 1
Se1 Se 0.2552 0.7552 0.5000 1
Se2 Se 0.6599 0.6599 0.0000 1
# **E**: -5.7222 eV per atom
# **Spin magnetization**: 0.013 μB per cell

***

Record 20
# PBE Na2Lu, relaxed
data_Na2Lu
_space_group_name_H-M_alt 'P 1'
_space_group_IT_number 1
_space_group_name_Hall 'P 1'
_cell_length_a 6.3395
_cell_length_b 6.3395
_cell_length_c 9.9520
_cell_angle_alpha 90.00
_cell_angle_beta 90.00
_cell_angle_gamma 120.00
loop_
_atom_site_label
_atom_site_type_symbol
_atom_site_fract_x
_atom_site_fract_y
_atom_site_fract_z
_atom_site_occupancy
Na1 Na 0.0000 0.0000 0.0000 1
Na2 Na 0.0000 0.0000 0.5000 1
Na3 Na 0.1717 0.3434 0.2500 1
Na4 Na 0.1717 0.8283 0.2500 1
Na5 Na 0.3434 0.1717 0.7500 1
Na6 Na 0.6566 0.8283 0.2500 1
Na7 Na 0.8283 0.1717 0.7500 1
Na8 Na 0.8283 0.6566 0.7500 1
Lu1 Lu 0.3333 0.6667 0.5626 1
Lu2 Lu 0.3333 0.6667 0.9374 1
Lu3 Lu 0.6667 0.3333 0.0626 1
Lu4 Lu 0.6667 0.3333 0.4374 1
# **E**: -2.0164 eV per atom
# **Spin magnetization**: 0.008 μB per cell